An optimized crystal structure of ZrPtSe2, computed with PBE.

Cell lengths 7.3572, 7.3572, 7.3572 Å; angles 32.24, 32.24, 32.24 degrees
Positions (direct):
Zr  0.0000  0.0000  0.0000
Pt  0.2578  0.2578  0.2578
Se  0.5605  0.5605  0.5605
Se  0.7368  0.7368  0.7368

Properties
**M_tot**: 0.000 μB per formula unit
**Uncorrected formation energy**: -0.80 eV per atom
**Density**: 7.32 Mg/m³
**Calculated total energy**: -6.189 eV/atom